The following is a PBE calculation of an optimized crystal structure of MnMoSe2, from Alexandria via LeMat-Bulk.

Results
The calculation puts the energy at -6.80 eV per atom. The theoretical density is 7.33 g/cm³. For the uncorrected formation energy, the calculation gives -54.7 meV/atom. The value obtained for the energy relative to the lowest polymorph listed for this composition is 24.1 kJ per mole of atoms.

Lattice parameters (Å, degrees): 4.649 4.649 5.033 100.50 100.50 40.93
Fractional coordinates of all 4 atoms:
Mn1 0.000 0.000 0.000
Mo1 0.224 0.224 0.678
Se1 0.497 0.497 0.514
Se2 0.734 0.734 0.077